Entry 1:
Computed, not measured: an optimized crystal structure of Pm3Pr4Ho5 at the PBE-GGA level of DFT.

As for the final energy: -4.671 eV per atom. The density of states at the Fermi level is 15.886 states/eV/cell. The energy relative to the lowest polymorph listed for this composition is 0.00 eV per formula unit. The value obtained for the total magnetization is 0.00 Bohr magnetons per cell. The calculation puts the formation energy at 0.017 eV/atom.

abc: 6.2728 7.2296 8.8665
angles: 90.13 90.04 90.05
Fractional positions:
Pm (0.0000, 0.0000, 0.0000)
Pm (0.1688, 0.7520, 0.6689)
Pm (0.8312, 0.2480, 0.3311)
Pr (0.1683, 0.2482, 0.6687)
Pr (0.3312, 0.5000, 0.3294)
Pr (0.6688, 0.5000, 0.6706)
Pr (0.8317, 0.7518, 0.3313)
Ho (0.0000, 0.5000, 0.0000)
Ho (0.3344, 0.0001, 0.3299)
Ho (0.4995, 0.7521, 0.9998)
Ho (0.5005, 0.2479, 0.0002)
Ho (0.6656, 0.9999, 0.6701)

=====

Entry 2:
Computed, not measured: an optimized crystal structure of ScTaReRu at the PBE-GGA level of DFT.

As for the final energy: -10.372 eV per atom. The density of states at the Fermi level is 12.783 states/eV/cell. The value obtained for the total magnetization is 0.00 Bohr magnetons per cell. The calculation puts the formation energy at -0.395 eV/atom.

abc: 6.3935 6.3935 6.3935
angles: 90.00 90.00 90.00
Fractional positions:
Sc (0.0000, 0.0000, 0.0000)
Sc (0.0000, 0.5000, 0.5000)
Sc (0.5000, 0.0000, 0.5000)
Sc (0.5000, 0.5000, 0.0000)
Ta (0.0000, 0.0000, 0.5000)
Ta (0.0000, 0.5000, 0.0000)
Ta (0.5000, 0.0000, 0.0000)
Ta (0.5000, 0.5000, 0.5000)
Re (0.2500, 0.2500, 0.7500)
Re (0.2500, 0.7500, 0.2500)
Re (0.7500, 0.2500, 0.2500)
Re (0.7500, 0.7500, 0.7500)
Ru (0.2500, 0.2500, 0.2500)
Ru (0.2500, 0.7500, 0.7500)
Ru (0.7500, 0.2500, 0.7500)
Ru (0.7500, 0.7500, 0.2500)